VASP calculation (PBE-GGA) on an optimized crystal structure of H12PdC2N6Cl4.

Results
Energy: -530.6 eV per cell

a b c (Å): 11.0622 11.0622 11.0030
angles (deg): 90.00 90.00 90.00
Fractional coordinates of all 100 atoms:
H 0.3375 0.0290 0.1842
H 0.6625 0.9710 0.1842
H 0.5290 0.1625 0.6842
H 0.4710 0.8375 0.6842
H 0.1625 0.4710 0.3158
H 0.8375 0.5290 0.3158
H 0.9710 0.3375 0.8158
H 0.0290 0.6625 0.8158
H 0.3297 0.1164 0.0507
H 0.6703 0.8836 0.0507
H 0.6164 0.1703 0.5507
H 0.3836 0.8297 0.5507
H 0.1703 0.3836 0.4493
H 0.8297 0.6164 0.4493
H 0.8836 0.3297 0.9493
H 0.1164 0.6703 0.9493
H 0.0538 0.2610 0.1356
H 0.9462 0.7390 0.1356
H 0.7610 0.4462 0.6356
H 0.2390 0.5538 0.6356
H 0.4462 0.2390 0.3644
H 0.5538 0.7610 0.3644
H 0.7390 0.0538 0.8644
H 0.2610 0.9462 0.8644
H 0.1790 0.2687 0.0399
H 0.8210 0.7313 0.0399
H 0.7687 0.3210 0.5399
H 0.2313 0.6790 0.5399
H 0.3210 0.2313 0.4601
H 0.6790 0.7687 0.4601
H 0.7313 0.1790 0.9601
H 0.2687 0.8210 0.9601
H 0.0602 0.1317 0.3067
H 0.9398 0.8683 0.3067
H 0.6317 0.4398 0.8067
H 0.3683 0.5602 0.8067
H 0.4398 0.3683 0.1933
H 0.5602 0.6317 0.1933
H 0.8683 0.0602 0.6933
H 0.1317 0.9398 0.6933
H 0.1744 0.0225 0.3165
H 0.8256 0.9775 0.3165
H 0.5225 0.3256 0.8165
H 0.4775 0.6744 0.8165
H 0.3256 0.4775 0.1835
H 0.6744 0.5225 0.1835
H 0.9775 0.1744 0.6835
H 0.0225 0.8256 0.6835
Pd 0.2500 0.7500 0.2500
Pd 0.7500 0.2500 0.2500
Pd 0.2500 0.2500 0.7500
Pd 0.7500 0.7500 0.7500
C 0.1872 0.1358 0.1696
C 0.8128 0.8642 0.1696
C 0.6358 0.3128 0.6696
C 0.3642 0.6872 0.6696
C 0.3128 0.3642 0.3304
C 0.6872 0.6358 0.3304
C 0.8642 0.1872 0.8304
C 0.1358 0.8128 0.8304
N 0.2941 0.0924 0.1328
N 0.7059 0.9076 0.1328
N 0.5924 0.2059 0.6328
N 0.4076 0.7941 0.6328
N 0.2059 0.4076 0.3672
N 0.7941 0.5924 0.3672
N 0.9076 0.2941 0.8672
N 0.0924 0.7059 0.8672
N 0.1320 0.2225 0.1051
N 0.8680 0.7775 0.1051
N 0.7225 0.3680 0.6051
N 0.2775 0.6320 0.6051
N 0.3680 0.2775 0.3949
N 0.6320 0.7225 0.3949
N 0.7775 0.1320 0.8949
N 0.2225 0.8680 0.8949
N 0.1353 0.0918 0.2702
N 0.8647 0.9082 0.2702
N 0.5918 0.3647 0.7702
N 0.4082 0.6353 0.7702
N 0.3647 0.4082 0.2298
N 0.6353 0.5918 0.2298
N 0.9082 0.1353 0.7298
N 0.0918 0.8647 0.7298
Cl 0.3912 0.7134 0.0982
Cl 0.6088 0.2866 0.0982
Cl 0.2134 0.1088 0.5982
Cl 0.7866 0.8912 0.5982
Cl 0.1088 0.7866 0.4018
Cl 0.8912 0.2134 0.4018
Cl 0.2866 0.3912 0.9018
Cl 0.7134 0.6088 0.9018
Cl 0.1187 0.6125 0.1587
Cl 0.8813 0.3875 0.1587
Cl 0.1125 0.3813 0.6587
Cl 0.8875 0.6187 0.6587
Cl 0.3813 0.8875 0.3413
Cl 0.6187 0.1125 0.3413
Cl 0.3875 0.1187 0.8413
Cl 0.6125 0.8813 0.8413

VASP calculation (PBE-GGA) on an optimized crystal structure of Nd2TlIrO8.

Results
Energy: -80.8 eV per cell

a b c (Å): 4.7897 4.9002 7.5001
angles (deg): 87.74 87.66 94.27
Fractional coordinates of all 12 atoms:
Nd 0.4350 0.4463 0.7601
Nd 0.5650 0.5537 0.2399
Tl 0.0000 0.0000 0.5000
Ir 0.0000 0.0000 0.0000
O 0.1249 0.7538 0.1866
O 0.7136 0.7319 0.9503
O 0.7659 0.1244 0.1945
O 0.8751 0.2462 0.8134
O 0.2864 0.2681 0.0497
O 0.2341 0.8756 0.8055
O 0.6961 0.6957 0.5232
O 0.3039 0.3043 0.4768

VASP calculation (PBE-GGA) on an optimized crystal structure of FePt8Rh2.

Results
E_form: -1.09 eV/f.u.

a b c (Å): 3.9330 6.2242 7.3353
angles (deg): 104.96 105.55 90.00
Fractional coordinates of all 11 atoms:
Rh 0.2239 0.6304 0.4478
Rh 0.7761 0.3696 0.5522
Fe 0.5000 0.0000 0.0000
Pt 0.5917 0.4437 0.1834
Pt 0.3194 0.0874 0.6388
Pt 0.1345 0.1793 0.2690
Pt 0.0452 0.7306 0.0903
Pt 0.8655 0.8207 0.7310
Pt 0.6806 0.9126 0.3612
Pt 0.4083 0.5563 0.8166
Pt 0.9548 0.2694 0.9097

VASP calculation (PBE-GGA) on an optimized crystal structure of ZnW2Cl.

Results
Energy: -25.8 eV per cell

a b c (Å): 2.7676 5.0452 4.7230
angles (deg): 90.00 90.00 90.00
Fractional coordinates of all 4 atoms:
Cl 0.0000 0.5000 0.5000
W 0.0000 0.0000 0.0000
W 0.5000 0.5000 0.0000
Zn 0.5000 0.0000 0.5000

VASP calculation (PBE-GGA) on an optimized crystal structure of KRbPbF6.

Results
Energy: -77.8 eV per cell

a b c (Å): 6.6349 6.6349 10.2020
angles (deg): 90.00 90.00 120.00
Fractional coordinates of all 18 atoms:
K 0.3333 0.6667 0.2500
K 0.6667 0.3333 0.7500
Rb 0.0000 0.0000 0.0000
Rb 0.0000 0.0000 0.5000
Pb 0.6667 0.3333 0.2500
Pb 0.3333 0.6667 0.7500
F 0.6630 0.5980 0.1368
F 0.9350 0.3370 0.1368
F 0.3370 0.9350 0.6368
F 0.0650 0.6630 0.8632
F 0.4020 0.3370 0.3632
F 0.9350 0.5980 0.3632
F 0.5980 0.9350 0.8632
F 0.6630 0.0650 0.3632
F 0.0650 0.4020 0.6368
F 0.4020 0.0650 0.1368
F 0.5980 0.6630 0.6368
F 0.3370 0.4020 0.8632

VASP calculation (PBE-GGA) on an optimized crystal structure of Ce3BiO.

Results
Energy: -33.8 eV per cell

a b c (Å): 4.8897 4.8897 4.8897
angles (deg): 90.00 90.00 90.00
Fractional coordinates of all 5 atoms:
O 0.0000 0.0000 0.0000
Bi 0.5000 0.5000 0.5000
Ce 0.0000 0.5000 0.0000
Ce 0.0000 0.0000 0.5000
Ce 0.5000 0.0000 0.0000